Density functional theory data (GGA+U) for a relaxed Ca2MoO4F crystal.

Geometry as POSCAR:
```
Ca2MoO4F
1.0
5.059 -1.614 0.000
5.059 1.614 0.000
-2.975 0.000 6.110
Ca Mo O F
2 1 4 1
Cartesian
1.257 0.000 1.167
5.885 0.000 4.943
-1.488 0.000 3.055
-0.851 0.000 4.850
2.273 0.000 3.413
4.869 0.000 2.697
7.993 0.000 1.260
5.059 0.000 0.000
```

As for the crystal system: monoclinic. For the total energy, the calculation gives -53.7 eV for the cell shown. As for the symmetry: No. 12. Its density of states at the Fermi level is 0.0 states/eV per cell. The calculation puts the volume at 12.5 Å³ per atom.